<i>
! ZnP2ClF PBE relaxed; values from VASP
&SYSTEM
  ibrav = 0, nat = 5, ntyp = 4
/
ATOMIC_SPECIES
P 30.97 P.upf
Zn 65.41 Zn.upf
Cl 35.45 Cl.upf
F 19.00 F.upf
CELL_PARAMETERS angstrom
4.082 0.000 0.000
0.000 4.082 0.000
0.000 0.000 5.733
ATOMIC_POSITIONS angstrom
P 0.000 2.041 0.000
P 2.041 0.000 0.000
Zn 2.041 2.041 2.866
Cl 0.000 0.000 2.866
F 0.000 0.000 0.000
! DOS at the Fermi energy: 3.0 states/eV/f.u.
! V: 19.10 Å³/atom

=====

<ii>
! ZnP2ClF PBE relaxed; values from VASP
&SYSTEM
  ibrav = 0, nat = 5, ntyp = 4
/
ATOMIC_SPECIES
F 19.00 F.upf
Cl 35.45 Cl.upf
Zn 65.41 Zn.upf
P 30.97 P.upf
CELL_PARAMETERS angstrom
4.665 0.000 0.000
0.000 4.665 0.000
0.000 0.000 4.756
ATOMIC_POSITIONS angstrom
F 2.332 2.332 2.378
Cl 0.000 0.000 2.378
Zn 0.000 0.000 0.000
P 2.332 0.000 0.000
P 0.000 2.332 0.000
! DOS at the Fermi energy: 4.5 states/eV/f.u.
! V: 20.70 Å³/atom

=====

Preferred: <i>; penalty for the next structure: 82 meV per atom.

=====

<i>
! ZrPCl2F PBE relaxed; values from VASP
&SYSTEM
  ibrav = 0, nat = 5, ntyp = 4
/
ATOMIC_SPECIES
Cl 35.45 Cl.upf
P 30.97 P.upf
Zr 91.22 Zr.upf
F 19.00 F.upf
CELL_PARAMETERS angstrom
5.004 0.000 0.000
0.000 5.004 0.000
0.000 0.000 3.670
ATOMIC_POSITIONS angstrom
Cl 0.000 2.502 0.000
Cl 2.502 0.000 0.000
P 0.000 0.000 1.835
Zr 2.502 2.502 1.835
F 0.000 0.000 0.000
! DOS at the Fermi energy: 4.3 states/eV/f.u.
! V: 18.38 Å³/atom

=====

<ii>
! ZrPCl2F PBE relaxed; values from VASP
&SYSTEM
  ibrav = 0, nat = 5, ntyp = 4
/
ATOMIC_SPECIES
F 19.00 F.upf
Zr 91.22 Zr.upf
Cl 35.45 Cl.upf
P 30.97 P.upf
CELL_PARAMETERS angstrom
4.930 0.000 0.000
0.000 4.930 0.000
0.000 0.000 5.235
ATOMIC_POSITIONS angstrom
F 2.465 2.465 2.617
Zr 0.000 0.000 0.000
Cl 2.465 0.000 0.000
Cl 0.000 2.465 0.000
P 0.000 0.000 2.617
! DOS at the Fermi energy: 5.5 states/eV/f.u.
! V: 25.44 Å³/atom

=====

Preferred: <ii>; penalty for the next structure: 519 meV per atom.

=====

<i>
! PaCl2F6 PBE relaxed; values from VASP
&SYSTEM
  ibrav = 0, nat = 9, ntyp = 3
/
ATOMIC_SPECIES
F 19.00 F.upf
Cl 35.45 Cl.upf
Pa 231.04 Pa.upf
CELL_PARAMETERS angstrom
-2.165 -1.096 -4.812
-0.044 -4.131 3.793
-7.490 2.097 -0.567
ATOMIC_POSITIONS angstrom
F -2.936 -1.920 -3.047
F -7.643 -3.408 -0.942
F -6.764 -1.211 1.461
F -7.359 0.227 -1.475
F -2.057 0.278 -0.644
F -2.341 -3.358 -0.110
Cl -5.559 -2.216 -0.918
Cl -4.141 -0.915 -0.668
Pa 0.000 0.000 0.000
! DOS at the Fermi energy: 2.8 states/eV/f.u.
! V: 21.41 Å³/atom

=====

<ii>
! PaCl2F6 PBE relaxed; values from VASP
&SYSTEM
  ibrav = 0, nat = 9, ntyp = 3
/
ATOMIC_SPECIES
F 19.00 F.upf
Pa 231.04 Pa.upf
Cl 35.45 Cl.upf
CELL_PARAMETERS angstrom
3.962 0.000 0.466
0.000 4.793 0.000
-1.008 -2.396 8.564
ATOMIC_POSITIONS angstrom
F 3.159 1.191 7.289
F 3.159 -1.191 7.289
F 1.981 3.624 0.233
F -0.205 1.205 1.742
F -0.205 3.588 1.742
F 1.981 1.168 0.233
Pa 0.000 0.000 0.000
Cl 1.465 0.000 4.607
Cl 1.489 2.396 4.423
! DOS at the Fermi energy: 5.2 states/eV/f.u.
! V: 18.32 Å³/atom

=====

Preferred: <i>; penalty for the next structure: 200 meV per atom.

=====

<i>
! PaCl3F PBE relaxed; values from VASP
&SYSTEM
  ibrav = 0, nat = 10, ntyp = 3
/
ATOMIC_SPECIES
Pa 231.04 Pa.upf
Cl 35.45 Cl.upf
F 19.00 F.upf
CELL_PARAMETERS angstrom
7.584 0.174 0.526
-3.571 6.692 -0.526
-3.314 -2.669 6.302
ATOMIC_POSITIONS angstrom
Pa 0.604 -2.365 6.564
Pa -1.658 3.563 -0.262
Cl -3.189 -0.145 4.547
Cl -1.186 3.289 4.543
Cl 2.137 1.347 1.755
Cl -1.694 1.280 1.285
Cl -3.438 4.605 1.234
Cl -4.938 3.176 4.491
F 1.024 -0.308 5.632
F -0.073 4.938 0.670
! DOS at the Fermi energy: 3.9 states/eV/f.u.
! V: 33.01 Å³/atom

=====

<ii>
! PaCl3F PBE relaxed; values from VASP
&SYSTEM
  ibrav = 0, nat = 10, ntyp = 3
/
ATOMIC_SPECIES
Cl 35.45 Cl.upf
Pa 231.04 Pa.upf
F 19.00 F.upf
CELL_PARAMETERS angstrom
-1.214 -0.846 -5.292
3.800 -4.926 2.769
-7.115 -4.194 2.303
ATOMIC_POSITIONS angstrom
Cl -1.429 -1.635 0.589
Cl 1.979 -4.306 0.235
Cl -0.704 -5.887 1.103
Cl -3.100 -8.332 -0.809
Cl -6.508 -5.661 -0.454
Cl -3.825 -4.080 -1.323
Pa -2.558 -7.800 1.834
Pa -1.971 -2.167 -2.054
F -3.603 -6.049 1.794
F -0.925 -3.918 -2.014
! DOS at the Fermi energy: 2.7 states/eV/f.u.
! V: 29.36 Å³/atom

=====

Preferred: <ii>; penalty for the next structure: 15 meV per atom.

=====

<i>
! PaClF2 PBE relaxed; values from VASP
&SYSTEM
  ibrav = 0, nat = 4, ntyp = 3
/
ATOMIC_SPECIES
Pa 231.04 Pa.upf
F 19.00 F.upf
Cl 35.45 Cl.upf
CELL_PARAMETERS angstrom
4.124 0.000 0.000
2.062 3.572 0.000
2.062 1.191 4.886
ATOMIC_POSITIONS angstrom
Pa 0.000 0.000 0.000
F 6.187 3.572 4.311
F 2.062 1.191 0.575
Cl 4.124 2.381 2.443
! DOS at the Fermi energy: 7.8 states/eV/f.u.
! V: 17.99 Å³/atom

=====

<ii>
! PaClF2 PBE relaxed; values from VASP
&SYSTEM
  ibrav = 0, nat = 8, ntyp = 3
/
ATOMIC_SPECIES
F 19.00 F.upf
Pa 231.04 Pa.upf
Cl 35.45 Cl.upf
CELL_PARAMETERS angstrom
3.740 0.000 0.000
-1.871 5.153 0.000
0.000 0.000 7.588
ATOMIC_POSITIONS angstrom
F 0.000 3.346 4.296
F 1.870 1.807 0.502
F 0.000 3.346 7.087
F 1.870 1.807 3.293
Pa 1.870 2.580 5.691
Pa 0.000 2.572 1.897
Cl 0.000 0.399 5.691
Cl 1.870 4.753 1.897
! DOS at the Fermi energy: 5.0 states/eV/f.u.
! V: 18.28 Å³/atom

=====

Preferred: <ii>; penalty for the next structure: 160 meV per atom.

=====

<i>
! PaClF4 PBE relaxed; values from VASP
&SYSTEM
  ibrav = 0, nat = 6, ntyp = 3
/
ATOMIC_SPECIES
Pa 231.04 Pa.upf
F 19.00 F.upf
Cl 35.45 Cl.upf
CELL_PARAMETERS angstrom
4.598 0.000 0.000
2.299 3.982 0.000
2.299 1.327 3.754
ATOMIC_POSITIONS angstrom
Pa 0.000 0.000 0.000
F 4.598 1.317 2.350
F 4.598 2.655 0.459
F 3.440 3.323 2.350
F 5.756 3.323 2.350
Cl 2.299 1.327 0.939
! DOS at the Fermi energy: 1.3 states/eV/f.u.
! V: 11.46 Å³/atom

=====

<ii>
! PaClF4 PBE relaxed; values from VASP
&SYSTEM
  ibrav = 0, nat = 12, ntyp = 3
/
ATOMIC_SPECIES
F 19.00 F.upf
Pa 231.04 Pa.upf
Cl 35.45 Cl.upf
CELL_PARAMETERS angstrom
-3.339 0.261 1.392
-2.549 -3.827 -5.394
1.199 -6.598 4.115
ATOMIC_POSITIONS angstrom
F -1.613 -4.721 1.743
F -3.465 -3.302 -2.965
F -1.224 -6.862 3.078
F -1.473 -1.673 1.507
F 0.600 -3.299 2.057
F -3.076 -5.443 -1.630
F -3.216 -8.491 -1.395
F 0.000 0.000 0.000
Pa 0.473 -5.590 2.182
Pa -1.822 -4.836 -3.462
Cl -0.911 -3.468 -1.534
Cl -0.438 -6.958 0.254
! DOS at the Fermi energy: 0.0 states/eV/f.u.
! V: 16.86 Å³/atom

=====

<iii>
! PaClF4 PBE relaxed; values from VASP
&SYSTEM
  ibrav = 0, nat = 6, ntyp = 3
/
ATOMIC_SPECIES
F 19.00 F.upf
Pa 231.04 Pa.upf
Cl 35.45 Cl.upf
CELL_PARAMETERS angstrom
-1.391 3.059 2.134
-5.803 1.140 -1.703
-4.945 -1.753 3.003
ATOMIC_POSITIONS angstrom
F -8.860 -0.117 1.819
F -3.279 2.563 1.615
F -5.001 0.523 3.417
F -7.138 1.923 0.017
Pa 0.000 0.000 0.000
Cl -5.374 -0.307 0.650
! DOS at the Fermi energy: 0.0 states/eV/f.u.
! V: 18.70 Å³/atom

=====

Preferred: <iii>; penalty for the next structure: 22 meV per atom.

=====

<i>
! PbCl2F PBE relaxed; values from VASP
&SYSTEM
  ibrav = 0, nat = 4, ntyp = 3
/
ATOMIC_SPECIES
Pb 207.20 Pb.upf
Cl 35.45 Cl.upf
F 19.00 F.upf
CELL_PARAMETERS angstrom
0.000 3.457 3.457
3.457 0.000 3.457
3.457 3.457 0.000
ATOMIC_POSITIONS angstrom
Pb 3.457 3.457 3.457
Cl 5.185 5.185 5.185
Cl 1.728 1.728 1.728
F 0.000 0.000 0.000
! DOS at the Fermi energy: 3.7 states/eV/f.u.
! V: 20.65 Å³/atom

=====

<ii>
! PbCl2F PBE relaxed; values from VASP
&SYSTEM
  ibrav = 0, nat = 4, ntyp = 3
/
ATOMIC_SPECIES
F 19.00 F.upf
Cl 35.45 Cl.upf
Pb 207.20 Pb.upf
CELL_PARAMETERS angstrom
3.775 3.760 5.765
6.571 0.494 4.266
6.195 4.403 1.962
ATOMIC_POSITIONS angstrom
F 0.000 0.000 0.000
Cl 14.780 7.735 10.716
Cl 1.761 0.922 1.277
Pb 8.270 4.328 5.997
! DOS at the Fermi energy: 0.0 states/eV/f.u.
! V: 33.20 Å³/atom

=====

<iii>
! PbCl2F PBE relaxed; values from VASP
&SYSTEM
  ibrav = 0, nat = 8, ntyp = 3
/
ATOMIC_SPECIES
F 19.00 F.upf
Cl 35.45 Cl.upf
Pb 207.20 Pb.upf
CELL_PARAMETERS angstrom
-8.271 -0.046 3.071
2.843 -3.458 7.603
-2.386 0.538 6.256
ATOMIC_POSITIONS angstrom
F -1.129 -2.336 9.598
F -2.714 -1.752 5.337
Cl -5.550 -0.328 4.486
Cl -6.491 -2.722 14.161
Cl 0.286 -2.032 6.648
Cl -3.873 -0.852 8.566
Pb -6.685 -0.630 7.332
Pb 0.000 0.000 0.000
! DOS at the Fermi energy: 0.6 states/eV/f.u.
! V: 24.22 Å³/atom

=====

Preferred: <iii>; penalty for the next structure: 255 meV per atom.

=====

<i>
! PbClF3 PBE relaxed; values from VASP
&SYSTEM
  ibrav = 0, nat = 20, ntyp = 3
/
ATOMIC_SPECIES
F 19.00 F.upf
Cl 35.45 Cl.upf
Pb 207.20 Pb.upf
CELL_PARAMETERS angstrom
9.571 0.000 -0.044
0.000 5.327 0.000
0.948 0.000 8.306
ATOMIC_POSITIONS angstrom
F 7.357 2.082 2.833
F 4.030 0.537 4.160
F 6.490 4.790 4.101
F 4.657 3.415 1.617
F 0.603 0.752 2.514
F 2.178 3.200 8.276
F 3.162 3.245 5.428
F 8.342 2.127 -0.014
F 3.046 0.581 7.008
F 9.917 4.576 5.748
F 5.863 1.912 6.645
F 7.474 4.746 1.254
Cl 3.045 3.311 0.817
Cl 8.305 4.680 4.948
Cl 7.474 2.016 7.445
Cl 2.215 0.647 3.314
Pb 9.060 3.312 1.940
Pb 5.771 0.648 2.147
Pb 1.460 2.015 6.322
Pb 4.748 4.679 6.115
! DOS at the Fermi energy: 0.0 states/eV/f.u.
! V: 21.19 Å³/atom

=====

<ii>
! PbClF3 PBE relaxed; values from VASP
&SYSTEM
  ibrav = 0, nat = 10, ntyp = 3
/
ATOMIC_SPECIES
F 19.00 F.upf
Pb 207.20 Pb.upf
Cl 35.45 Cl.upf
CELL_PARAMETERS angstrom
5.320 -0.002 0.000
-0.001 6.204 -0.001
0.000 0.002 6.325
ATOMIC_POSITIONS angstrom
F 2.491 2.717 1.271
F 5.150 5.675 4.432
F 2.241 4.992 2.929
F 4.902 3.399 2.771
F 2.241 4.992 5.934
F 4.901 3.399 6.092
Pb 0.940 4.004 4.432
Pb 3.601 4.390 1.269
Cl 4.734 0.251 1.269
Cl 2.073 1.938 4.433
! V: 20.87 Å³/atom

=====

Preferred: <ii>; penalty for the next structure: 37 meV per atom.

=====

<i>
! PbClF3 PBE relaxed; values from VASP
&SYSTEM
  ibrav = 0, nat = 5, ntyp = 3
/
ATOMIC_SPECIES
Cl 35.45 Cl.upf
F 19.00 F.upf
Pb 207.20 Pb.upf
CELL_PARAMETERS angstrom
4.508 0.000 0.000
0.000 4.508 0.000
0.000 0.000 4.508
ATOMIC_POSITIONS angstrom
Cl 0.000 0.000 0.000
F 0.000 0.000 2.254
F 0.000 2.254 0.000
F 2.254 0.000 0.000
Pb 2.254 2.254 2.254
! DOS at the Fermi energy: 2.2 states/eV/f.u.
! V: 18.32 Å³/atom

=====

<ii>
! PbClF3 PBE relaxed; values from VASP
&SYSTEM
  ibrav = 0, nat = 5, ntyp = 3
/
ATOMIC_SPECIES
Pb 207.20 Pb.upf
F 19.00 F.upf
Cl 35.45 Cl.upf
CELL_PARAMETERS angstrom
4.502 0.000 0.000
0.000 4.502 0.000
0.000 0.000 4.502
ATOMIC_POSITIONS angstrom
Pb 0.000 0.000 0.000
F 0.000 0.000 2.251
F 2.251 0.000 0.000
F 0.000 2.251 0.000
Cl 2.251 2.251 2.251
! DOS at the Fermi energy: 12.4 states/eV/f.u.
! V: 18.24 Å³/atom

=====

Preferred: <ii>; penalty for the next structure: 594 meV per atom.

=====

<i>
! Pb2ClF PBE relaxed; values from VASP
&SYSTEM
  ibrav = 0, nat = 4, ntyp = 3
/
ATOMIC_SPECIES
F 19.00 F.upf
Cl 35.45 Cl.upf
Pb 207.20 Pb.upf
CELL_PARAMETERS angstrom
0.000 3.621 3.621
3.621 0.000 3.621
3.621 3.621 0.000
ATOMIC_POSITIONS angstrom
F 0.000 0.000 0.000
Cl 3.621 3.621 3.621
Pb 1.810 1.810 1.810
Pb 5.431 5.431 5.431
! DOS at the Fermi energy: 4.1 states/eV/f.u.
! V: 23.74 Å³/atom

=====

<ii>
! Pb2ClF PBE relaxed; values from VASP
&SYSTEM
  ibrav = 0, nat = 8, ntyp = 3
/
ATOMIC_SPECIES
Cl 35.45 Cl.upf
F 19.00 F.upf
Pb 207.20 Pb.upf
CELL_PARAMETERS angstrom
-0.939 4.592 2.603
-3.664 1.337 -3.680
-8.274 -0.844 4.025
ATOMIC_POSITIONS angstrom
Cl -5.757 3.356 3.045
Cl 0.000 0.000 0.000
F -7.120 1.729 -0.096
F -2.301 2.964 -0.538
Pb -3.015 2.344 1.900
Pb -9.848 4.415 2.464
Pb -8.316 1.731 2.229
Pb -4.574 1.681 -0.695
! DOS at the Fermi energy: 1.7 states/eV/f.u.
! V: 30.28 Å³/atom

=====

Preferred: <ii>; penalty for the next structure: 203 meV per atom.

=====

<i>
! PbS2ClF PBE relaxed; values from VASP
&SYSTEM
  ibrav = 0, nat = 5, ntyp = 4
/
ATOMIC_SPECIES
Pb 207.20 Pb.upf
F 19.00 F.upf
S 32.06 S.upf
Cl 35.45 Cl.upf
CELL_PARAMETERS angstrom
-1.270 -3.231 -2.494
2.972 -2.523 1.754
-3.750 -1.625 4.014
ATOMIC_POSITIONS angstrom
Pb -1.024 -3.689 1.637
F 0.000 0.000 0.000
S -0.635 -1.615 -1.247
S 1.486 -1.262 0.877
Cl -1.875 -0.813 2.007
! DOS at the Fermi energy: 2.9 states/eV/f.u.
! V: 20.94 Å³/atom

=====

<ii>
! PbS2ClF PBE relaxed; values from VASP
&SYSTEM
  ibrav = 0, nat = 5, ntyp = 4
/
ATOMIC_SPECIES
Cl 35.45 Cl.upf
F 19.00 F.upf
Pb 207.20 Pb.upf
S 32.06 S.upf
CELL_PARAMETERS angstrom
-5.382 0.256 0.557
-0.364 -5.294 -1.087
0.484 -1.097 5.181
ATOMIC_POSITIONS angstrom
Cl 0.242 -0.549 2.591
F -2.631 -3.068 2.326
Pb 0.000 0.000 0.000
S -2.691 0.128 0.278
S -0.182 -2.647 -0.543
! DOS at the Fermi energy: 6.6 states/eV/f.u.
! V: 31.20 Å³/atom

=====

Preferred: <i>; penalty for the next structure: 414 meV per atom.